No. 1
Computed, not measured: a relaxed structure of BeCd3Fe at the GGA-PBEsol level of DFT.

abc: 4.508 4.508 4.508
angles: 90.00 90.00 90.00
Each line ends with the local moment (μB).
Atoms (fractional coordinates):
1 Cd 0.000 0.000 0.500  0.01
2 Cd 0.500 0.000 0.000  0.01
3 Cd 0.000 0.500 0.000  0.01
4 Fe 0.500 0.500 0.500  3.08
5 Be 0.000 0.000 0.000  0.08

## Properties
Calculated density = 7.29 g/cm3
Energy = -2.54 eV per atom
Volume = 18.327 A^3/atom
Symmetry = Pm-3m, No. 221
Calculated formation energy = 773 meV per atom


No. 2
Computed, not measured: a relaxed structure of BeCdFe2 at the GGA-PBEsol level of DFT.

abc: 2.833 2.833 6.064
angles: 90.00 90.00 90.00
Each line ends with the local moment (μB).
Atoms (fractional coordinates):
1 Fe 0.500 0.500 0.259  1.67
2 Fe 0.000 0.000 0.057  2.09
3 Be 0.000 0.000 0.445  -0.05
4 Cd 0.500 0.500 0.739  -0.04

## Properties
Calculated density = 7.95 g/cm3
Energy = -5.61 eV per atom
Volume = 12.172 A^3/atom
Symmetry = P4mm, No. 99
E above lowest polymorph = 20 meV per atom
Calculated formation energy = 175 meV per atom


No. 3
Computed, not measured: a relaxed structure of BeCdFe4 at the GGA-PBEsol level of DFT.

abc: 4.683 4.683 4.683
angles: 60.00 60.00 60.00
Each line ends with the local moment (μB).
Atoms (fractional coordinates):
1 Fe 0.376 0.873 0.376  1.79
2 Fe 0.873 0.376 0.376  1.79
3 Fe 0.376 0.376 0.376  1.79
4 Fe 0.376 0.376 0.873  1.79
5 Be 0.750 0.750 0.750  -0.09
6 Cd 0.000 0.000 0.000  -0.06

## Properties
Calculated density = 7.88 g/cm3
Energy = -6.49 eV per atom
Volume = 12.104 A^3/atom
Symmetry = F-43m, No. 216
Calculated formation energy = 348 meV per atom


No. 4
Computed, not measured: a relaxed structure of Be2CdFe at the GGA-PBEsol level of DFT.

abc: 3.389 3.389 4.667
angles: 111.29 111.29 90.00
Each line ends with the local moment (μB).
Atoms (fractional coordinates):
1 Be 0.750 0.250 0.500  -0.06
2 Be 0.000 0.000 0.000  -0.04
3 Cd 0.500 0.500 0.000  -0.04
4 Fe 0.250 0.750 0.500  1.65

## Properties
Calculated density = 6.72 g/cm3
Energy = -4.22 eV per atom
Volume = 11.499 A^3/atom
Symmetry = I-4m2, No. 119
Calculated formation energy = 322 meV per atom


No. 5
Computed, not measured: a relaxed structure of BeCdFe2 at the GGA-PBEsol level of DFT.

abc: 4.110 4.110 4.110
angles: 60.00 60.00 60.00
Each line ends with the local moment (μB).
Atoms (fractional coordinates):
1 Cd 0.250 0.250 0.250  -0.04
2 Fe 0.750 0.750 0.750  2.14
3 Fe 0.000 0.000 0.000  2.22
4 Be 0.500 0.500 0.500  -0.05

## Properties
Calculated density = 7.89 g/cm3
Energy = -5.46 eV per atom
Volume = 12.269 A^3/atom
Symmetry = F-43m, No. 216
E above lowest polymorph = 169 meV per atom
Calculated formation energy = 324 meV per atom


No. 6
Computed, not measured: a relaxed structure of BeCdFe2 at the GGA-PBEsol level of DFT.

abc: 2.641 2.641 6.905
angles: 90.00 90.00 90.00
Each line ends with the local moment (μB).
Atoms (fractional coordinates):
1 Fe 0.000 0.000 0.804  2.26
2 Fe 0.000 0.000 0.196  2.26
3 Cd 0.500 0.500 0.500  -0.03
4 Be 0.500 0.500 0.000  -0.08

## Properties
Calculated density = 8.04 g/cm3
Energy = -5.63 eV per atom
Volume = 12.039 A^3/atom
Symmetry = P4/mmm, No. 123
E above lowest polymorph = 0 meV per atom
Calculated formation energy = 155 meV per atom


No. 7
Computed, not measured: a relaxed structure of BeCdGe3 at the GGA-PBEsol level of DFT.

abc: 4.524 4.524 4.524
angles: 90.00 90.00 90.00
Atoms (fractional coordinates):
1 Ge 0.000 0.000 0.500
2 Ge 0.000 0.500 0.000
3 Ge 0.500 0.000 0.000
4 Cd 0.500 0.500 0.500
5 Be 0.000 0.000 0.000

## Properties
Calculated density = 6.09 g/cm3
Energy = -3.58 eV per atom
Volume = 18.517 A^3/atom
Symmetry = Pm-3m, No. 221
Calculated formation energy = 426 meV per atom


No. 8
Computed, not measured: a relaxed structure of BeCd3Ge at the GGA-PBEsol level of DFT.

abc: 5.094 5.094 5.094
angles: 90.00 90.00 90.00
Atoms (fractional coordinates):
1 Cd 0.000 0.000 0.500
2 Cd 0.000 0.500 0.000
3 Cd 0.500 0.000 0.000
4 Be 0.500 0.500 0.500
5 Ge 0.000 0.000 0.000

## Properties
Calculated density = 5.26 g/cm3
Energy = -1.61 eV per atom
Volume = 26.443 A^3/atom
Symmetry = Pm-3m, No. 221
Calculated formation energy = 900 meV per atom


No. 9
Computed, not measured: a relaxed structure of MgBe2CdGe at the GGA-PBEsol level of DFT.

abc: 4.553 4.553 4.972
angles: 90.00 90.00 90.00
Atoms (fractional coordinates):
1 Be 0.500 0.000 0.000
2 Be 0.000 0.500 0.000
3 Cd 0.500 0.500 0.500
4 Mg 0.000 0.000 0.000
5 Ge 0.000 0.000 0.500

## Properties
Calculated density = 3.66 g/cm3
Energy = -1.97 eV per atom
Volume = 20.609 A^3/atom
Symmetry = P4/mmm, No. 123
Calculated formation energy = 1201 meV per atom


No. 10
Computed, not measured: a relaxed structure of BeCd2GeN at the GGA-PBEsol level of DFT.

abc: 3.001 5.257 5.257
angles: 90.00 90.00 90.00
Atoms (fractional coordinates):
1 Ge 0.500 0.500 0.500
2 N 0.500 0.000 0.000
3 Cd 0.000 0.000 0.500
4 Cd 0.000 0.500 0.000
5 Be 0.000 0.000 0.000

## Properties
Calculated density = 6.42 g/cm3
Energy = -3.74 eV per atom
Volume = 16.583 A^3/atom
Symmetry = P4/mmm, No. 123
Uncorrected formation energy = 0.23 eV per atom


No. 11
Computed, not measured: a relaxed structure of Sc2BeCdGe at the GGA-PBEsol level of DFT.

abc: 4.377 4.723 4.723
angles: 90.00 90.00 90.00
Atoms (fractional coordinates):
1 Be 0.000 0.000 0.000
2 Sc 0.000 0.000 0.500
3 Sc 0.000 0.500 0.000
4 Ge 0.500 0.500 0.500
5 Cd 0.500 0.000 0.000

## Properties
Calculated density = 4.83 g/cm3
Energy = -4.61 eV per atom
Volume = 19.526 A^3/atom
Symmetry = P4/mmm, No. 123
Calculated formation energy = 60 meV per atom


No. 12
Computed, not measured: a relaxed structure of Ta2BeCdGe at the GGA-PBEsol level of DFT.

abc: 4.026 5.001 5.001
angles: 90.00 90.00 90.00
Atoms (fractional coordinates):
1 Ge 0.500 0.500 0.500
2 Be 0.500 0.000 0.000
3 Ta 0.000 0.000 0.500
4 Ta 0.000 0.500 0.000
5 Cd 0.000 0.000 0.000

## Properties
Calculated density = 9.17 g/cm3
Energy = -5.31 eV per atom
Volume = 20.141 A^3/atom
Symmetry = P4/mmm, No. 123
Calculated formation energy = 1733 meV per atom


> The highest volume belongs to which entry?

BeCd3Ge


> What is the formula in the third record?

BeCdFe4